# TeRh2Cl

TeRh2Cl after structural relaxation (PBE, Alexandria).

```
data_TeRh2Cl
_symmetry_space_group_name_H-M 'C m m m'
_symmetry_Int_Tables_number 65
_symmetry_space_group_name_Hall '-C 2 2'
_cell_length_a 7.277
_cell_length_b 7.288
_cell_length_c 3.018
_cell_angle_alpha 90.00
_cell_angle_beta 90.00
_cell_angle_gamma 90.00
loop_
_atom_site_label
_atom_site_type_symbol
_atom_site_fract_x
_atom_site_fract_y
_atom_site_fract_z
Te1 Te 0.000 0.000 0.000
Rh1 Rh 0.250 0.250 0.000
Cl1 Cl 0.000 0.500 0.000
```

Properties
The energy relative to the elements, uncorrected is 0.29 eV/atom. For the magnetic moment, the calculation gives 0.0 μB per formula unit. Its energy above the most stable polymorph in this dataset is 9.32 kcal/mol of atoms. For the final energy, the calculation gives -37.0 eV per cell.

***

# Te2RhCl

Te2RhCl after structural relaxation (PBE, Alexandria).

```
data_Te2RhCl
_symmetry_space_group_name_H-M 'C 1 2/m 1'
_symmetry_Int_Tables_number 12
_cell_length_a 6.193
_cell_length_b 7.782
_cell_length_c 4.967
_cell_angle_alpha 90.00
_cell_angle_beta 128.42
_cell_angle_gamma 90.00
loop_
_symmetry_equiv_pos_as_xyz
'x,y,z'
'-x,-y,-z'
'-x,y,-z'
'x,-y,z'
'x+1/2,y+1/2,z'
'-x+1/2,-y+1/2,-z'
'-x+1/2,y+1/2,-z'
'x+1/2,-y+1/2,z'
loop_
_atom_site_label
_atom_site_type_symbol
_atom_site_fract_x
_atom_site_fract_y
_atom_site_fract_z
Te1 Te 0.250 0.250 0.000
Rh1 Rh 0.000 0.000 0.500
Cl1 Cl 0.000 0.500 0.500
```

Properties
The energy relative to the elements, uncorrected is 0.17 eV/atom. For the magnetic moment, the calculation gives 0.0 μB per formula unit. For the final energy, the calculation gives -29.6 eV per cell.

***

# Te2RhCl

Te2RhCl after structural relaxation (PBE, Alexandria).

```
data_Te2RhCl
_symmetry_space_group_name_H-M 'F -4 3 m'
_symmetry_Int_Tables_number 216
_symmetry_space_group_name_Hall 'F -4 2 3'
_cell_length_a 7.034
_cell_length_b 7.034
_cell_length_c 7.034
_cell_angle_alpha 90.00
_cell_angle_beta 90.00
_cell_angle_gamma 90.00
loop_
_atom_site_label
_atom_site_type_symbol
_atom_site_fract_x
_atom_site_fract_y
_atom_site_fract_z
Te1 Te 0.000 0.000 0.000
Te2 Te 0.250 0.250 0.250
Rh1 Rh 0.250 0.250 0.750
Cl1 Cl 0.000 0.000 0.500
```

Properties
The energy relative to the elements, uncorrected is 0.41 eV/atom. For the magnetic moment, the calculation gives 0.0 μB per formula unit. For the final energy, the calculation gives -55.3 eV per cell.

***

# Te2RhCl

Te2RhCl after structural relaxation (PBE, Alexandria).

```
data_Te2RhCl
_symmetry_space_group_name_H-M 'P m m m'
_symmetry_Int_Tables_number 47
_cell_length_a 3.211
_cell_length_b 4.467
_cell_length_c 6.846
_cell_angle_alpha 90.00
_cell_angle_beta 90.00
_cell_angle_gamma 90.00
loop_
_symmetry_equiv_pos_as_xyz
'x,y,z'
'-x,-y,-z'
'-x,-y,z'
'x,y,-z'
'x,-y,-z'
'-x,y,z'
'-x,y,-z'
'x,-y,z'
loop_
_atom_site_label
_atom_site_type_symbol
_atom_site_fract_x
_atom_site_fract_y
_atom_site_fract_z
Te1 Te 0.000 0.000 0.000
Te2 Te 0.500 0.000 0.500
Rh1 Rh 0.000 0.500 0.500
Cl1 Cl 0.500 0.500 0.000
```

Properties
The energy relative to the elements, uncorrected is 0.36 eV/atom. For the magnetic moment, the calculation gives 0.0 μB per formula unit. For the final energy, the calculation gives -14.0 eV per cell.

***

# TeRhCl

TeRhCl after structural relaxation (PBE, Alexandria).

```
data_TeRhCl
_symmetry_space_group_name_H-M 'I 4 m m'
_symmetry_Int_Tables_number 107
_symmetry_space_group_name_Hall 'I 4 -2'
_cell_length_a 3.252
_cell_length_b 3.252
_cell_length_c 12.232
_cell_angle_alpha 90.00
_cell_angle_beta 90.00
_cell_angle_gamma 90.00
loop_
_atom_site_label
_atom_site_type_symbol
_atom_site_fract_x
_atom_site_fract_y
_atom_site_fract_z
Te1 Te 0.000 0.000 0.000
Rh1 Rh 0.000 0.000 0.616
Cl1 Cl 0.000 0.000 0.258
```

Properties
The energy relative to the elements, uncorrected is -0.17 eV/atom. For the magnetic moment, the calculation gives 0.0 μB per formula unit. For the final energy, the calculation gives -25.7 eV per cell.

***

# TeRh2Cl

TeRh2Cl after structural relaxation (PBE, Alexandria).

```
data_TeRh2Cl
_symmetry_space_group_name_H-M 'P 4 m m'
_symmetry_Int_Tables_number 99
_cell_length_a 3.517
_cell_length_b 3.517
_cell_length_c 6.428
_cell_angle_alpha 90.00
_cell_angle_beta 90.00
_cell_angle_gamma 90.00
loop_
_symmetry_equiv_pos_as_xyz
'x,y,z'
'-y,x,z'
'-x,-y,z'
'y,-x,z'
'-x,y,z'
'y,x,z'
'x,-y,z'
'-y,-x,z'
loop_
_atom_site_label
_atom_site_type_symbol
_atom_site_fract_x
_atom_site_fract_y
_atom_site_fract_z
Te1 Te 0.000 0.000 0.000
Rh1 Rh 0.000 0.000 0.595
Rh2 Rh 0.500 0.500 0.830
Cl1 Cl 0.500 0.500 0.463
```

Properties
The energy relative to the elements, uncorrected is 0.00 eV/atom. For the magnetic moment, the calculation gives 0.0 μB per formula unit. Its energy above the most stable polymorph in this dataset is 2.64 kcal/mol of atoms. For the final energy, the calculation gives -19.7 eV per cell.

***

# TeRh2Cl

TeRh2Cl after structural relaxation (PBE, Alexandria).

```
data_TeRh2Cl
_symmetry_space_group_name_H-M 'I -4 2 d'
_symmetry_Int_Tables_number 122
_symmetry_space_group_name_Hall 'I -4 2bw'
_cell_length_a 6.168
_cell_length_b 6.168
_cell_length_c 9.592
_cell_angle_alpha 90.00
_cell_angle_beta 90.00
_cell_angle_gamma 90.00
loop_
_atom_site_label
_atom_site_type_symbol
_atom_site_fract_x
_atom_site_fract_y
_atom_site_fract_z
Te1 Te 0.000 0.000 0.000
Rh1 Rh 0.244 0.250 0.625
Cl1 Cl 0.000 0.000 0.500
```

Properties
The energy relative to the elements, uncorrected is 0.13 eV/atom. For the magnetic moment, the calculation gives 0.0 μB per formula unit. Its energy above the most stable polymorph in this dataset is 5.65 kcal/mol of atoms. For the final energy, the calculation gives -76.6 eV per cell.

***

# Te2RhCl

Te2RhCl after structural relaxation (PBE, Alexandria).

```
data_Te2RhCl
_symmetry_space_group_name_H-M 'P 4/m m m'
_symmetry_Int_Tables_number 123
_symmetry_space_group_name_Hall '-P 4 2'
_cell_length_a 5.165
_cell_length_b 5.165
_cell_length_c 3.134
_cell_angle_alpha 90.00
_cell_angle_beta 90.00
_cell_angle_gamma 90.00
loop_
_atom_site_label
_atom_site_type_symbol
_atom_site_fract_x
_atom_site_fract_y
_atom_site_fract_z
Te1 Te 0.000 0.500 0.000
Rh1 Rh 0.000 0.000 0.500
Cl1 Cl 0.500 0.500 0.500
```

Properties
The energy relative to the elements, uncorrected is 0.29 eV/atom. For the magnetic moment, the calculation gives 0.0 μB per formula unit. For the final energy, the calculation gives -14.3 eV per cell.